No. 1
{
  "formula": "Er2P3Pd3",
  "functional": "PBE",
  "state": "relaxed",
  "cell": [[7.8054, 0.0000, 0.0000], [0.0000, 5.9188, 3.4168], [0.0000, 0.0004, 6.8342]],
  "species": ["Er", "Er", "Er", "Er", "P", "P", "P", "P", "P", "P", "Pd", "Pd", "Pd", "Pd", "Pd", "Pd"],
  "frac_coords": [[0.0000, 0.3333, 0.3333], [0.5000, 0.6667, 0.6667], [0.0000, 0.6667, 0.6667], [0.5000, 0.3333, 0.3333], [0.7500, 0.0000, 0.6141], [0.7500, 0.6141, 0.3859], [0.7500, 0.3859, 0.0000], [0.2500, 0.0000, 0.3859], [0.2500, 0.3859, 0.6141], [0.2500, 0.6141, 0.0000], [0.7500, 0.0000, 0.2666], [0.7500, 0.2666, 0.7334], [0.7500, 0.7334, 0.0000], [0.2500, 0.0000, 0.7334], [0.2500, 0.7334, 0.2666], [0.2500, 0.2666, 0.0000]],
  "n_ef_per_ev_cell": 6.41,
  "e_form_ev_per_atom": -0.976,
  "spacegroup": "No. 193",
  "crystal_system": "hexagonal"
}


No. 2
{
  "formula": "ErP2Pd4",
  "functional": "PBE",
  "state": "relaxed",
  "cell": [[4.1763, 0.0000, 0.0000], [0.0000, 4.1413, 0.0000], [0.0000, -2.0707, 6.5455]],
  "species": ["Er", "P", "P", "Pd", "Pd", "Pd", "Pd"],
  "frac_coords": [[0.0000, 0.0000, 0.0000], [0.5000, 0.5842, 0.1684], [0.5000, 0.4158, 0.8316], [0.5000, 0.8272, 0.6543], [0.0000, 0.6694, 0.3387], [0.5000, 0.1728, 0.3457], [0.0000, 0.3306, 0.6613]],
  "n_ef_per_ev_cell": 2.77,
  "e_form_ev_per_atom": -0.806,
  "spacegroup": "No. 65",
  "de_polymorph_mev_per_atom": 0,
  "crystal_system": "orthorhombic"
}


No. 3
{
  "formula": "ErPPd",
  "functional": "PBE",
  "state": "relaxed",
  "cell": [[4.3937, 0.0000, 0.0000], [2.1969, 3.8051, 0.0000], [2.1969, 1.2684, 3.5874]],
  "species": ["P", "Pd", "Er"],
  "frac_coords": [[0.2500, 0.2500, 0.2500], [0.5000, 0.5000, 0.5000], [0.0000, 0.0000, 0.0000]],
  "n_ef_per_ev_cell": 0.26,
  "e_form_ev_per_atom": -1.059,
  "spacegroup": "No. 216",
  "crystal_system": "cubic"
}


No. 4
{
  "formula": "ErPPd6",
  "functional": "PBE",
  "state": "relaxed",
  "cell": [[5.5840, 0.0000, 0.0000], [2.7920, 4.8359, 0.0000], [2.7920, 1.6120, 5.6341]],
  "species": ["Er", "P", "Pd", "Pd", "Pd", "Pd", "Pd", "Pd"],
  "frac_coords": [[0.5000, 0.5000, 0.5000], [0.0000, 0.0000, 0.0000], [0.9150, 0.9150, 0.7365], [0.4334, 0.9150, 0.7365], [0.0850, 0.5666, 0.2635], [0.5666, 0.0850, 0.2635], [0.0850, 0.0850, 0.2635], [0.9150, 0.4334, 0.7365]],
  "n_ef_per_ev_cell": 2.87,
  "e_form_ev_per_atom": -0.454,
  "spacegroup": "No. 166",
  "crystal_system": "trigonal"
}


No. 5
{
  "formula": "ErP2Pd3",
  "functional": "PBE",
  "state": "relaxed",
  "cell": [[-2.5189, -2.6753, -1.2917], [5.3379, -4.4178, 4.6128], [-6.9029, 3.5376, 6.1346]],
  "species": ["Er", "Er", "Er", "P", "P", "P", "P", "P", "P", "Pd", "Pd", "Pd", "Pd", "Pd", "Pd", "Pd", "Pd", "Pd"],
  "frac_coords": [[0.1475, 0.2950, 0.6976], [0.8525, 0.7050, 0.3024], [0.0000, 0.0000, 0.0000], [0.2019, 0.4038, 0.1353], [0.7981, 0.5962, 0.8647], [0.4614, 0.9229, 0.2039], [0.5386, 0.0771, 0.7961], [0.3666, 0.7332, 0.5484], [0.6334, 0.2668, 0.4516], [0.0435, 0.0870, 0.3276], [0.9565, 0.9130, 0.6724], [0.2307, 0.4614, 0.3884], [0.7693, 0.5386, 0.6116], [0.6277, 0.2554, 0.2028], [0.3723, 0.7446, 0.7972], [0.5000, 0.0000, 0.5000], [0.3204, 0.6408, 0.0384], [0.6796, 0.3592, 0.9616]],
  "n_ef_per_ev_cell": 7.40,
  "e_form_ev_per_atom": -0.858,
  "spacegroup": "No. 12",
  "crystal_system": "monoclinic"
}


No. 6
{
  "formula": "ErPPd",
  "functional": "PBE",
  "state": "relaxed",
  "cell": [[4.1965, 0.0000, 0.0000], [2.0982, 6.8230, -0.0641], [2.0982, 2.5820, 4.1203]],
  "species": ["Er", "Er", "Pd", "Pd", "P", "P"],
  "frac_coords": [[0.3838, 0.7739, 0.4584], [0.6162, 0.2261, 0.5416], [0.8807, 0.4017, 0.8369], [0.1193, 0.5983, 0.1631], [0.3213, 0.2458, 0.1115], [0.6787, 0.7542, 0.8885]],
  "n_ef_per_ev_cell": 2.98,
  "e_form_ev_per_atom": -1.046,
  "spacegroup": "No. 12",
  "crystal_system": "monoclinic"
}


No. 7
{
  "formula": "ErP4Pd12",
  "functional": "PBE",
  "state": "relaxed",
  "cell": [[-5.3409, 4.2596, -2.3189], [3.0145, -3.3576, -5.6291], [-2.6497, -4.8991, 4.5853]],
  "species": ["Er", "P", "P", "P", "P", "Pd", "Pd", "Pd", "Pd", "Pd", "Pd", "Pd", "Pd", "Pd", "Pd", "Pd", "Pd"],
  "frac_coords": [[0.0000, 0.0000, 0.0000], [0.0000, 0.5000, 0.0000], [0.5000, 0.0000, 0.0000], [0.5000, 0.5000, 0.5000], [0.0000, 0.0000, 0.5000], [0.8307, 0.3330, 0.1637], [0.3330, 0.5024, 0.1693], [0.8363, 0.1693, 0.6670], [0.3330, 0.1637, 0.8307], [0.1637, 0.8307, 0.3330], [0.6670, 0.4976, 0.8307], [0.5024, 0.1693, 0.3330], [0.4976, 0.8307, 0.6670], [0.6670, 0.8363, 0.1693], [0.8307, 0.6670, 0.4976], [0.1693, 0.3330, 0.5024], [0.1693, 0.6670, 0.8363]],
  "n_ef_per_ev_cell": 3.34,
  "e_form_ev_per_atom": -0.458,
  "spacegroup": "No. 204",
  "crystal_system": "cubic"
}


No. 8
{
  "formula": "Er2P6Pd21",
  "functional": "PBE",
  "state": "relaxed",
  "cell": [[-6.1542, -4.9029, 3.4954], [1.8352, -5.0875, 6.6993], [-3.0891, 1.8870, 7.8120]],
  "species": ["Er", "Er", "P", "P", "P", "P", "P", "P", "Pd", "Pd", "Pd", "Pd", "Pd", "Pd", "Pd", "Pd", "Pd", "Pd", "Pd", "Pd", "Pd", "Pd", "Pd", "Pd", "Pd", "Pd", "Pd", "Pd", "Pd"],
  "frac_coords": [[0.7500, 0.7500, 0.7500], [0.2500, 0.2500, 0.2500], [0.2607, 0.7393, 0.2607], [0.7393, 0.2607, 0.2607], [0.7393, 0.7393, 0.2607], [0.7393, 0.2607, 0.7393], [0.2607, 0.7393, 0.7393], [0.2607, 0.2607, 0.7393], [0.0000, 0.0000, 0.0000], [0.6154, 0.6154, 0.1537], [0.6154, 0.6154, 0.6154], [0.6154, 0.1537, 0.6154], [0.1537, 0.6154, 0.6154], [0.3846, 0.3846, 0.8463], [0.3846, 0.3846, 0.3846], [0.3846, 0.8463, 0.3846], [0.8463, 0.3846, 0.3846], [0.6550, 0.0000, 0.3450], [0.0000, 0.6550, 0.3450], [0.0000, 0.0000, 0.3450], [0.0000, 0.6550, 0.0000], [0.6550, 0.0000, 0.0000], [0.0000, 0.0000, 0.6550], [0.0000, 0.3450, 0.0000], [0.0000, 0.3450, 0.6550], [0.6550, 0.3450, 0.0000], [0.3450, 0.0000, 0.6550], [0.3450, 0.0000, 0.0000], [0.3450, 0.6550, 0.0000]],
  "n_ef_per_ev_cell": 10.79,
  "e_form_ev_per_atom": -0.643,
  "spacegroup": "No. 225",
  "crystal_system": "cubic"
}


No. 9
{
  "formula": "Er4P6Pd5",
  "functional": "PBE",
  "state": "relaxed",
  "cell": [[4.0068, 0.0000, 0.0000], [-2.0034, 9.1826, 0.0000], [0.0000, 0.0000, 14.5519]],
  "species": ["Er", "Er", "Er", "Er", "Er", "Er", "Er", "Er", "P", "P", "P", "P", "P", "P", "P", "P", "P", "P", "P", "P", "Pd", "Pd", "Pd", "Pd", "Pd", "Pd", "Pd", "Pd", "Pd", "Pd"],
  "frac_coords": [[0.9638, 0.9277, 0.2683], [0.0362, 0.0723, 0.7683], [0.1654, 0.3307, 0.3017], [0.8346, 0.6693, 0.8017], [0.8162, 0.6325, 0.4453], [0.1838, 0.3675, 0.9453], [0.0106, 0.0212, 0.5089], [0.9894, 0.9788, 0.0089], [0.7657, 0.5314, 0.2607], [0.4311, 0.8621, 0.4054], [0.7808, 0.5616, 0.9888], [0.2192, 0.4384, 0.4888], [0.4469, 0.8938, 0.8529], [0.5531, 0.1062, 0.3529], [0.4255, 0.8509, 0.1296], [0.5745, 0.1491, 0.6296], [0.1155, 0.2310, 0.1179], [0.8845, 0.7690, 0.6179], [0.5689, 0.1379, 0.9054], [0.2343, 0.4686, 0.7607], [0.4476, 0.8952, 0.6745], [0.5524, 0.1048, 0.1745], [0.1510, 0.3020, 0.6304], [0.8490, 0.6980, 0.1304], [0.6415, 0.2829, 0.4706], [0.3585, 0.7171, 0.9706], [0.3042, 0.6085, 0.6173], [0.6958, 0.3915, 0.1173], [0.3413, 0.6826, 0.2830], [0.6587, 0.3174, 0.7830]],
  "n_ef_per_ev_cell": 18.41,
  "e_form_ev_per_atom": -1.042,
  "spacegroup": "No. 36",
  "crystal_system": "orthorhombic"
}


No. 10
{
  "formula": "ErPPd",
  "functional": "PBE",
  "state": "relaxed",
  "cell": [[3.8070, 0.0000, 0.0000], [0.0000, 3.8070, 0.0000], [-1.9035, -1.9035, 4.0179]],
  "species": ["P", "Pd", "Er"],
  "frac_coords": [[0.2972, 0.2972, 0.5943], [0.6013, 0.6013, 0.2026], [0.9515, 0.9515, 0.9031]],
  "n_ef_per_ev_cell": 0.92,
  "e_form_ev_per_atom": -0.802,
  "spacegroup": "No. 107",
  "crystal_system": "tetragonal"
}


No. 11
{
  "formula": "ErPPd2",
  "functional": "PBE",
  "state": "relaxed",
  "cell": [[3.8668, 0.0000, 0.0000], [0.0000, 4.0533, 0.0000], [-1.9334, 0.0000, 9.2580]],
  "species": ["Er", "Er", "P", "P", "Pd", "Pd", "Pd", "Pd"],
  "frac_coords": [[0.3906, 0.2500, 0.7811], [0.6094, 0.7500, 0.2189], [0.1701, 0.2500, 0.3401], [0.8299, 0.7500, 0.6599], [0.7458, 0.2500, 0.4916], [0.2542, 0.7500, 0.5084], [0.0458, 0.2500, 0.0915], [0.9542, 0.7500, 0.9085]],
  "n_ef_per_ev_cell": 5.06,
  "e_form_ev_per_atom": -0.908,
  "spacegroup": "No. 63",
  "crystal_system": "orthorhombic"
}


No. 12
{
  "formula": "ErP2Pd4",
  "functional": "PBE",
  "state": "relaxed",
  "cell": [[3.6947, 0.0000, 0.0000], [0.0000, 7.8208, 0.0000], [0.0000, 0.0000, 7.8208]],
  "species": ["Er", "Er", "P", "P", "P", "P", "Pd", "Pd", "Pd", "Pd", "Pd", "Pd", "Pd", "Pd"],
  "frac_coords": [[0.5000, 0.0000, 0.0000], [0.0000, 0.5000, 0.5000], [0.0000, 0.2247, 0.7753], [0.0000, 0.7753, 0.2247], [0.5000, 0.7247, 0.7247], [0.5000, 0.2753, 0.2753], [0.0000, 0.0677, 0.3141], [0.0000, 0.9323, 0.6859], [0.5000, 0.1859, 0.5677], [0.5000, 0.8141, 0.4323], [0.5000, 0.4323, 0.8141], [0.5000, 0.5677, 0.1859], [0.0000, 0.3141, 0.0677], [0.0000, 0.6859, 0.9323]],
  "n_ef_per_ev_cell": 7.81,
  "e_form_ev_per_atom": -0.797,
  "spacegroup": "No. 136",
  "de_polymorph_mev_per_atom": 9,
  "crystal_system": "tetragonal"
}


No. 13
{
  "formula": "Er2PPd2Pt4",
  "functional": "PBE",
  "state": "relaxed",
  "cell": [[-2.9564, 5.2756, -0.6133], [-2.5180, -5.1124, -2.1146], [0.5960, -2.4802, 5.5175]],
  "species": ["Er", "Er", "P", "Pd", "Pd", "Pt", "Pt", "Pt", "Pt"],
  "frac_coords": [[0.5000, 0.7500, 0.2500], [0.5000, 0.2500, 0.7500], [0.0000, 0.0000, 0.0000], [0.0000, 0.7305, 0.7305], [0.0000, 0.2695, 0.2695], [0.0000, 0.7347, 0.2653], [0.4694, 0.7347, 0.7347], [0.0000, 0.2653, 0.7347], [0.5306, 0.2653, 0.2653]],
  "n_ef_per_ev_cell": 2.89,
  "e_form_ev_per_atom": -0.949,
  "spacegroup": "No. 139",
  "crystal_system": "tetragonal"
}


No. 14
{
  "formula": "ErSb2P2Pd7",
  "functional": "PBE",
  "state": "relaxed",
  "cell": [[-1.1817, 4.2400, 1.0355], [-3.6160, -1.3055, -2.3806], [-5.3531, -3.4185, 9.3640]],
  "species": ["Er", "Sb", "Sb", "P", "P", "Pd", "Pd", "Pd", "Pd", "Pd", "Pd", "Pd"],
  "frac_coords": [[0.0000, 0.0000, 0.0000], [0.8502, 0.8502, 0.3840], [0.1498, 0.1498, 0.6160], [0.6911, 0.6911, 0.8141], [0.3089, 0.3089, 0.1859], [0.5000, 0.5000, 0.0000], [0.3500, 0.3500, 0.3971], [0.6500, 0.6500, 0.6029], [0.8390, 0.4354, 0.2128], [0.4354, 0.8390, 0.2128], [0.5646, 0.1610, 0.7872], [0.1610, 0.5646, 0.7872]],
  "n_ef_per_ev_cell": 5.77,
  "spacegroup": "No. 12",
  "formation_energy_uncorrected_mev_per_atom": -513,
  "crystal_system": "monoclinic"
}


No. 15
{
  "formula": "Er8Te4P3Pd",
  "functional": "PBE",
  "state": "relaxed",
  "cell": [[-3.5809, -3.7853, -6.3856], [7.5705, -1.4876, -3.3635], [-1.5655, -2.5190, 7.6899]],
  "species": ["Er", "Er", "Er", "Er", "Er", "Er", "Er", "Er", "Te", "Te", "Te", "Te", "P", "P", "P", "Pd"],
  "frac_coords": [[0.2395, 0.7125, 0.9731], [0.2395, 0.7125, 0.4790], [0.2639, 0.2918, 0.5279], [0.7337, 0.7125, 0.9731], [0.2663, 0.2875, 0.0269], [0.7361, 0.7082, 0.4721], [0.7605, 0.2875, 0.5210], [0.7605, 0.2875, 0.0269], [0.5000, 0.0000, 0.0000], [0.5000, 0.0000, 0.5000], [0.0000, 0.0000, 0.0000], [0.0000, 0.0000, 0.5000], [0.5000, 0.5000, 0.0000], [0.5000, 0.5000, 0.5000], [0.0000, 0.5000, 0.5000], [0.0000, 0.5000, 0.0000]],
  "n_ef_per_ev_cell": 7.74,
  "spacegroup": "No. 166",
  "formation_energy_uncorrected_mev_per_atom": -1370,
  "crystal_system": "trigonal"
}


No. 16
{
  "formula": "Er4Te2PPd",
  "functional": "PBE",
  "state": "relaxed",
  "cell": [[4.0923, 0.0000, 0.0000], [0.0000, 7.3087, 0.1755], [0.0000, -2.5038, 6.8749]],
  "species": ["Er", "Er", "Er", "Er", "Te", "Te", "P", "Pd"],
  "frac_coords": [[0.5000, 0.2310, 0.2135], [0.5000, 0.7690, 0.7865], [0.0000, 0.2600, 0.7895], [0.0000, 0.7400, 0.2105], [0.5000, 0.0000, 0.5000], [0.0000, 0.5000, 0.5000], [0.0000, 0.0000, 0.0000], [0.5000, 0.5000, 0.0000]],
  "n_ef_per_ev_cell": 4.21,
  "spacegroup": "No. 10",
  "formation_energy_uncorrected_mev_per_atom": -1241,
  "crystal_system": "monoclinic"
}


No. 17
{
  "formula": "ErTe2P2Pd7",
  "functional": "PBE",
  "state": "relaxed",
  "cell": [[3.9990, -0.0024, -0.0050], [0.0025, 3.9990, -0.0050], [2.0063, 2.0039, 14.4945]],
  "species": ["Er", "Te", "Te", "P", "P", "Pd", "Pd", "Pd", "Pd", "Pd", "Pd", "Pd"],
  "frac_coords": [[0.0000, 0.0000, 0.0000], [0.7925, 0.7925, 0.4166], [0.2075, 0.2075, 0.5834], [0.6178, 0.6178, 0.7629], [0.3822, 0.3822, 0.2371], [0.5000, 0.5000, 0.0000], [0.3030, 0.3030, 0.3963], [0.6970, 0.6970, 0.6037], [0.9257, 0.4256, 0.1494], [0.4256, 0.9257, 0.1494], [0.5744, 0.0743, 0.8506], [0.0743, 0.5744, 0.8506]],
  "n_ef_per_ev_cell": 6.87,
  "spacegroup": "No. 12",
  "formation_energy_uncorrected_mev_per_atom": -563,
  "crystal_system": "monoclinic"
}


No. 18
{
  "formula": "Er6Te3PPd2",
  "functional": "PBE",
  "state": "relaxed",
  "cell": [[7.1596, -0.0145, -0.0047], [-3.5906, 6.1941, -0.0047], [-1.1951, -2.0692, 7.1010]],
  "species": ["Er", "Er", "Er", "Er", "Er", "Er", "Te", "Te", "Te", "P", "Pd", "Pd"],
  "frac_coords": [[0.9292, 0.5985, 0.7870], [0.7418, 0.7418, 0.2162], [0.0708, 0.4015, 0.2130], [0.5985, 0.9292, 0.7870], [0.2582, 0.2582, 0.7838], [0.4015, 0.0708, 0.2130], [0.1660, 0.8340, 0.5000], [0.8340, 0.1660, 0.5000], [0.5000, 0.5000, 0.5000], [0.0000, 0.0000, 0.0000], [0.3334, 0.6666, 0.0000], [0.6666, 0.3334, 0.0000]],
  "n_ef_per_ev_cell": 6.50,
  "spacegroup": "No. 12",
  "formation_energy_uncorrected_mev_per_atom": -1161,
  "crystal_system": "monoclinic"
}


No. 19
{
  "formula": "PmEr5P6",
  "functional": "PBE",
  "state": "relaxed",
  "cell": [[6.8419, 0.1676, 1.0398], [1.6815, 5.8043, 3.3837], [0.1154, 0.0632, 6.9220]],
  "species": ["P", "P", "P", "P", "P", "P", "Er", "Er", "Er", "Er", "Er", "Pm"],
  "frac_coords": [[0.7464, 0.0845, 0.3386], [0.2536, 0.5769, 0.3386], [0.2529, 0.2544, 0.0000], [0.7471, 0.7456, 0.0000], [0.7464, 0.4231, 0.6614], [0.2536, 0.9155, 0.6614], [0.5000, 0.1656, 0.6688], [0.0000, 0.3330, 0.3340], [0.5000, 0.5000, 0.0000], [0.0000, 0.6670, 0.6660], [0.5000, 0.8344, 0.3312], [0.0000, 0.0000, 0.0000]],
  "n_ef_per_ev_cell": 1.12,
  "e_form_ev_per_atom": -1.598,
  "spacegroup": "No. 12",
  "crystal_system": "monoclinic"
}


No. 20
{
  "formula": "Pm4ErP5",
  "functional": "PBE",
  "state": "relaxed",
  "cell": [[5.2266, 0.0000, 2.5210], [2.6133, 6.4830, 1.2605], [-0.2031, 0.0000, 7.0997]],
  "species": ["Pm", "Pm", "Pm", "Pm", "Er", "P", "P", "P", "P", "P"],
  "frac_coords": [[0.4022, 0.3985, 0.7992], [0.8007, 0.7992, 0.6015], [0.2013, 0.2008, 0.3985], [0.5998, 0.6015, 0.2008], [0.0012, 0.0000, 0.0000], [0.9027, 0.3934, 0.8033], [0.2960, 0.8033, 0.6066], [0.7060, 0.1967, 0.3934], [0.0993, 0.6066, 0.1967], [0.5012, 0.0000, 0.0000]],
  "n_ef_per_ev_cell": 0.50,
  "e_form_ev_per_atom": -1.565,
  "spacegroup": "No. 87",
  "crystal_system": "tetragonal"
}